1.
ZrZn2Ir: optimized geometry, PBE.

Total moment (μB per cell): 0.25
Calculated formation energy (eV/atom): -0.0608
Raw total energy (eV per atom): -5.050

a = 2.9132 Å, b = 2.9132 Å, c = 27.2627 Å
α = 90.00°, β = 90.00°, γ = 120.00°
Space group R-3m (No. 166, hexagonal axes)
Inequivalent atoms, fractional coordinates:
Zr  0.0000  0.0000  0.0000 [3 per cell]
Zn  0.0000  0.0000  0.2416 [6 per cell]
Ir  0.0000  0.0000  0.5000 [3 per cell]



2.
Er2ZrAl: optimized geometry, PBE.

Total moment (μB per cell): 0.00
Calculated formation energy (eV/atom): -0.1725
Raw total energy (eV per atom): -5.527
Energy above the most stable polymorph in this dataset (eV/f.u.): 0.00

a = 4.563 Å, b = 4.563 Å, c = 4.617 Å
α = 90.00°, β = 90.00°, γ = 90.00°
Space group P4/mmm (No. 123)
Inequivalent atoms, fractional coordinates:
Er  0.000  0.500  0.000 [2 per cell]
Zr  0.000  0.000  0.500 [1 per cell]
Al  0.500  0.500  0.500 [1 per cell]



3.
Y4ZnCu3: optimized geometry, PBE.

Total moment (μB per cell): 0.00
Calculated formation energy (eV/atom): -0.2683
Raw total energy (eV per atom): -5.196
Energy above the most stable polymorph in this dataset (eV/f.u.): 0.00

a = 3.499 Å, b = 4.970 Å, c = 9.922 Å
α = 90.00°, β = 90.00°, γ = 90.00°
Space group Pmmm (No. 47)
Inequivalent atoms, fractional coordinates:
Y  0.000  0.000  0.000 [1 per cell]
Y  0.000  0.000  0.500 [1 per cell]
Y  0.000  0.500  0.245 [2 per cell]
Zn  0.500  0.500  0.500 [1 per cell]
Cu  0.500  0.000  0.252 [2 per cell]
Cu  0.500  0.500  0.000 [1 per cell]



4.
NdGe2Pb: optimized geometry, PBE.

Total moment (μB per cell): 0.00
Calculated formation energy (eV/atom): 0.2531
Raw total energy (eV per atom): -4.175
Energy above the most stable polymorph in this dataset (eV/f.u.): 2.42

a = 4.8912 Å, b = 4.8912 Å, c = 21.8494 Å
α = 90.00°, β = 90.00°, γ = 120.00°
Space group R-3m (No. 166, hexagonal axes)
Inequivalent atoms, fractional coordinates:
Nd  0.0000  0.0000  0.0000 [3 per cell]
Ge  0.0000  0.0000  0.3783 [6 per cell]
Pb  0.0000  0.0000  0.5000 [3 per cell]



5.
Ta6NbFe: optimized geometry, PBE.

Total moment (μB per cell): 0.00
Calculated formation energy (eV/atom): 0.0413
Raw total energy (eV per atom): -11.165

a = 5.197 Å, b = 5.199 Å, c = 5.205 Å
α = 89.98°, β = 89.94°, γ = 89.96°
Space group P-1 (No. 2)
Inequivalent atoms, fractional coordinates:
Ta  0.000  0.245  0.001 [2 per cell]
Ta  0.245  0.501  0.500 [2 per cell]
Ta  0.499  0.000  0.255 [2 per cell]
Nb  0.500  0.500  0.000 [1 per cell]
Fe  0.000  0.000  0.500 [1 per cell]



6.
SrAcGa3: optimized geometry, PBE.

Total moment (μB per cell): 0.00
Calculated formation energy (eV/atom): -0.5524
Raw total energy (eV per atom): -3.527
Energy above the most stable polymorph in this dataset (eV/f.u.): 0.00

a = 4.665 Å, b = 27.545 Å, c = 4.417 Å
α = 90.00°, β = 90.00°, γ = 90.00°
Space group Cmcm (No. 63)
Inequivalent atoms, fractional coordinates:
Sr  0.000  0.202  0.250 [4 per cell]
Ac  0.000  0.069  0.750 [4 per cell]
Ga  0.000  0.334  0.250 [4 per cell]
Ga  0.000  0.384  0.750 [4 per cell]
Ga  0.000  0.476  0.750 [4 per cell]



7.
HgSb2Br: optimized geometry, PBE.

E_form (uncorrected) (meV per atom): 28
Total moment (μB per cell): 0.00
Raw total energy (eV per atom): -2.527
Energy above the most stable polymorph in this dataset (eV/f.u.): 0.59

a = 3.952 Å, b = 4.896 Å, c = 12.904 Å
α = 90.00°, β = 90.00°, γ = 90.00°
Space group Imm2 (No. 44)
Inequivalent atoms, fractional coordinates:
Hg  0.000  0.000  0.000 [2 per cell]
Sb  0.000  0.000  0.471 [2 per cell]
Sb  0.000  0.500  0.803 [2 per cell]
Br  0.000  0.500  0.240 [2 per cell]



8.
K2MnBeSb: optimized geometry, PBE.

E_form (uncorrected) (meV per atom): 722
Total moment (μB per cell): 3.68
Raw total energy (eV per atom): -3.121

a = 6.076 Å, b = 6.076 Å, c = 4.418 Å
α = 90.00°, β = 90.00°, γ = 90.00°
Space group P4/mmm (No. 123)
Inequivalent atoms, fractional coordinates:
K  0.000  0.500  0.000 [2 per cell]
Mn  0.000  0.000  0.500 [1 per cell]
Be  0.000  0.000  0.000 [1 per cell]
Sb  0.500  0.500  0.500 [1 per cell]